Below is a relaxed structure of Nd4OsO10, with properties calculated at the PBE level.

## Properties
Formation energy from raw total energies (eV/atom): -2.308
Mass density (g/cm³): 7.46

abc: 5.5583 6.6986 6.6986
angles: 80.09 65.49 65.49
Each line ends with the local moment (μB).
Sites, in units of the cell vectors:
Nd: 0.4012 0.7950 0.4027  0.01
Nd: 0.8038 0.5973 0.7950  0.01
Nd: 0.1962 0.4027 0.2050  0.01
Nd: 0.5988 0.2050 0.5973  0.01
Os: 0.0000 0.0000 0.0000  1.30
O: 0.2500 0.5000 0.5000  0.07
O: 0.6896 0.2671 0.9183  0.23
O: 0.0432 0.0817 0.2671  0.23
O: 0.3921 0.9183 0.7329  0.23
O: 0.8751 0.7329 0.0817  0.23
O: 0.3104 0.7329 0.0817  0.23
O: 0.7500 0.5000 0.5000  0.07
O: 0.1249 0.2671 0.9183  0.23
O: 0.6079 0.0817 0.2671  0.23
O: 0.9568 0.9183 0.7329  0.23